[1]
The following is a PBEsol calculation of a geometry-optimized Zr2FeIr structure, from the Alexandria database.

Results
Formation energy from the elements (eV per atom): -0.2072

Cell: 3.099 4.184 5.319 Å, 90.00 90.00 90.00°
Space group Pmm2 (No. 25)
Symmetry-distinct sites (fractional):
Zr: 0.000 0.000 0.000 [1 per cell]
Zr: 0.500 0.500 0.361 [1 per cell]
Fe: 0.000 0.000 0.474 [1 per cell]
Ir: 0.500 0.500 0.851 [1 per cell]

---

[2]
The following is a PBEsol calculation of a geometry-optimized K2AsPb structure, from the Alexandria database.

Results
Relative energy among the computed polymorphs (eV/atom): 0.0749
Formation energy from the elements (eV per atom): -0.2142

Cell: 4.3524 4.3524 30.0873 Å, 90.00 90.00 120.00°
Space group R3m (No. 160, hexagonal axes)
Symmetry-distinct sites (fractional):
K: 0.0000 0.0000 0.0000 [3 per cell]
K: 0.0000 0.0000 0.1974 [3 per cell]
As: 0.0000 0.0000 0.7332 [3 per cell]
Pb: 0.0000 0.0000 0.4435 [3 per cell]

---

[3]
The following is a PBEsol calculation of a geometry-optimized Cu2Au structure, from the Alexandria database.

Results
Relative energy among the computed polymorphs (eV/atom): 0.0327
Formation energy from the elements (eV per atom): -0.0067

Cell: 2.748 2.748 10.531 Å, 90.00 90.00 90.00°
Space group I4/mmm (No. 139)
Symmetry-distinct sites (fractional):
Cu: 0.000 0.000 0.177 [4 per cell]
Au: 0.000 0.000 0.500 [2 per cell]

---

[4]
The following is a PBEsol calculation of a geometry-optimized CsZnRe3 structure, from the Alexandria database.

Results
Formation energy from the elements (eV per atom): 2.7747

Cell: 4.709 4.709 4.709 Å, 90.00 90.00 90.00°
Space group Pm-3m (No. 221)
Symmetry-distinct sites (fractional):
Cs: 0.000 0.000 0.000 [1 per cell]
Zn: 0.500 0.500 0.500 [1 per cell]
Re: 0.000 0.500 0.500 [3 per cell]

---

[5]
The following is a PBEsol calculation of a geometry-optimized Ba2TcAs structure, from the Alexandria database.

Results
Formation energy from the elements (eV per atom): -0.0222

Cell: 4.054 5.237 10.948 Å, 90.00 90.00 90.00°
Space group Imm2 (No. 44)
Symmetry-distinct sites (fractional):
Ba: 0.000 0.000 0.000 [2 per cell]
Ba: 0.000 0.500 0.204 [2 per cell]
Tc: 0.000 0.500 0.808 [2 per cell]
As: 0.000 0.000 0.421 [2 per cell]

---

[6]
The following is a PBEsol calculation of a geometry-optimized MnGaS3 structure, from the Alexandria database.

Results
Formation energy (no corrections) (eV per atom): 0.023

Cell: 4.498 4.498 4.498 Å, 90.00 90.00 90.00°
Space group Pm-3m (No. 221)
Symmetry-distinct sites (fractional):
Mn: 0.000 0.000 0.000 [1 per cell]
Ga: 0.500 0.500 0.500 [1 per cell]
S: 0.000 0.000 0.500 [3 per cell]